The following is a DFT calculation (GGA-PBE) of an optimized crystal structure of KAs2Ru.

POSCAR file:
```
KAs2Ru
1.0
3.108 0.000 0.000
0.000 3.532 0.000
0.000 0.000 7.849
K As Ru
1 2 1
direct
0.000 0.000 0.000 K
0.000 0.500 0.347 As
0.500 0.500 0.703 As
0.500 0.000 0.480 Ru
```

Values from the calculation:
Volume: 86 Å³ per cell
E above lowest polymorph: 0.092 eV per atom
Space-group type: Pmm2
Total magnetic moment: 0.0000 μB per atom
Formation enthalpy at 0 K: -11 kJ per mole of atoms

---

The following is a DFT calculation (GGA-PBE) of an optimized crystal structure of TmInAg6.

POSCAR file:
```
TmInAg6
1.0
4.837 0.000 0.000
0.000 3.328 4.907
0.000 -3.328 4.907
Tm In Ag
1 1 6
direct
0.000 0.000 0.000 Tm
0.500 0.270 0.270 In
0.000 0.462 0.462 Ag
0.000 0.510 0.948 Ag
0.000 0.948 0.510 Ag
0.500 0.318 0.758 Ag
0.500 0.758 0.318 Ag
0.500 0.803 0.803 Ag
```

Values from the calculation:
Volume: 158 Å³ per cell
Space-group type: Amm2
Total magnetic moment: 0.0000 μB per atom
Formation enthalpy at 0 K: -7 kJ per mole of atoms

---

The following is a DFT calculation (GGA-PBE) of an optimized crystal structure of NbH4Ru.

POSCAR file:
```
NbH4Ru
1.0
2.732 -1.585 0.000
2.732 1.585 0.000
-1.844 0.000 5.067
Nb H Ru
1 4 1
direct
0.000 0.000 0.000 Nb
0.135 0.135 0.405 H
0.381 0.381 0.138 H
0.619 0.619 0.862 H
0.865 0.865 0.595 H
0.500 0.500 0.500 Ru
```

Values from the calculation:
Volume: 44 Å³ per cell
Space-group type: C2/m
Total magnetic moment: 0.0000 μB per atom
Electronic total energy: -5.493 eV/atom

---

The following is a DFT calculation (GGA-PBE) of an optimized crystal structure of Rb3ZrW.

POSCAR file:
```
Rb3ZrW
1.0
6.874 0.000 0.000
0.000 6.874 0.000
0.000 0.000 6.874
Rb Zr W
3 1 1
direct
0.000 0.000 0.500 Rb
0.000 0.500 0.000 Rb
0.500 0.000 0.000 Rb
0.500 0.500 0.500 Zr
0.000 0.000 0.000 W
```

Values from the calculation:
Volume: 325 Å³ per cell
E above lowest polymorph: 0.000 eV per atom
Space-group type: Pm-3m
Total magnetic moment: 0.3454 μB per atom
Formation enthalpy at 0 K: 214 kJ per mole of atoms

---

The following is a DFT calculation (GGA-PBE) of an optimized crystal structure of Ca3ScSn12.

POSCAR file:
```
Ca3ScSn12
1.0
4.726 0.000 0.000
0.000 4.726 0.000
0.000 0.000 18.896
Ca Sc Sn
3 1 12
direct
0.000 0.000 0.000 Ca
0.000 0.000 0.254 Ca
0.000 0.000 0.746 Ca
0.000 0.000 0.500 Sc
0.000 0.500 0.127 Sn
0.000 0.500 0.381 Sn
0.000 0.500 0.619 Sn
0.000 0.500 0.873 Sn
0.500 0.000 0.127 Sn
0.500 0.000 0.381 Sn
0.500 0.000 0.619 Sn
0.500 0.000 0.873 Sn
0.500 0.500 0.000 Sn
0.500 0.500 0.254 Sn
0.500 0.500 0.500 Sn
0.500 0.500 0.746 Sn
```

Values from the calculation:
Volume: 422 Å³ per cell
Space-group type: P4/mmm
Total magnetic moment: 0.0000 μB per atom
Formation enthalpy at 0 K: -34 kJ per mole of atoms

---

The following is a DFT calculation (GGA-PBE) of an optimized crystal structure of PmYGa2Ni2.

POSCAR file:
```
PmYGa2Ni2
1.0
4.308 0.000 0.000
-2.154 3.731 0.000
0.000 0.000 7.207
Pm Y Ga Ni
1 1 2 2
direct
0.000 0.000 0.000 Pm
0.000 0.000 0.500 Y
0.333 0.667 0.262 Ga
0.667 0.333 0.738 Ga
0.333 0.667 0.737 Ni
0.667 0.333 0.263 Ni
```

Values from the calculation:
Volume: 116 Å³ per cell
Space-group type: P-3m1
Total magnetic moment: 0.0000 μB per atom
Formation enthalpy at 0 K: -56 kJ per mole of atoms